[1]
CsRb2As | GGA-PBE | relaxed

abc: 7.0719 7.0719 10.7821
angles: 90.00 90.00 132.14
Sites, in units of the cell vectors:
Cs: 0.0560 0.9440 0.7500
Cs: 0.9440 0.0560 0.2500
Rb: 0.3351 0.6649 0.5686
Rb: 0.3351 0.6649 0.9314
Rb: 0.6649 0.3351 0.0686
Rb: 0.6649 0.3351 0.4314
As: 0.2496 0.7504 0.2500
As: 0.7504 0.2496 0.7500

DFT formation energy, eV per atom: -0.26
Raw total energy, eV per atom: -2.116
SG: Cmcm, No. 63
ρ, g/cm3: 3.15
Density of states at the Fermi level, states/eV per atom: 0.91
Crystal system: orthorhombic
Total magnetic moment, μB/atom: 0.000

---

[2]
Nd2MnAu | GGA-PBE | relaxed

abc: 3.6985 3.6985 7.3862
angles: 90.00 90.00 90.00
Sites, in units of the cell vectors:
Nd: 0.0000 0.0000 0.2471
Nd: 0.0000 0.0000 0.7529
Mn: 0.5000 0.5000 0.0000
Au: 0.5000 0.5000 0.5000

DFT formation energy, eV per atom: -0.24
Raw total energy, eV per atom: -5.731
Relative energy among the computed polymorphs, eV per atom: 0.000
SG: P4/mmm, No. 123
ρ, g/cm3: 8.88
Density of states at the Fermi level, states/eV per atom: 1.02
Crystal system: tetragonal
Total magnetic moment, μB/atom: 0.818

---

[3]
TcNi2Pt | GGA-PBE | relaxed

abc: 4.6046 4.6046 4.5012
angles: 99.92 99.92 33.64
Sites, in units of the cell vectors:
Tc: 0.0000 0.0000 0.0000
Ni: 0.4948 0.4948 0.4803
Ni: 0.7497 0.7497 0.2429
Pt: 0.2460 0.2460 0.7410

DFT formation energy, eV per atom: -0.06
Raw total energy, eV per atom: -7.050
Relative energy among the computed polymorphs, eV per atom: 0.023
SG: Cm, No. 8
ρ, g/cm3: 13.11
Density of states at the Fermi level, states/eV per atom: 0.87
Crystal system: monoclinic
Total magnetic moment, μB/atom: 0.000

---

- Number 2 is which compound?
  Nd2MnAu

---

- Which value of DFT formation energy does entry 1 give?
  -0.26 eV per atom

---

- The lowest ρ belongs to which entry?
  CsRb2As